This record from Alexandria describes a geometry-optimized HfCoAs2O8 structure. The functional is GGA+U.

Structure (POSCAR):
```
HfCoAs2O8
1.0
5.541 0.000 0.000
-2.771 4.799 0.000
0.000 0.000 5.949
As O Co Hf
2 8 1 1
Direct
0.667 0.333 0.330
0.333 0.667 0.670
0.674 0.837 0.773
0.667 0.333 0.607
0.837 0.674 0.227
0.837 0.163 0.227
0.333 0.667 0.393
0.163 0.837 0.773
0.163 0.326 0.773
0.326 0.163 0.227
0.000 0.000 0.500
0.000 0.000 0.000
```

Crystal system: trigonal
Symmetry: P-3m1
E (eV/atom): -6.887